Entry from Alexandria: crystalline MoAsWSe2 at its relaxed geometry (PBE).

a = 4.8994 Å, b = 4.8994 Å, c = 4.9552 Å
α = 90.00°, β = 90.00°, γ = 90.00°
Site moments in Bohr magnetons follow the coordinates.
Element x y z (fractional)
As 0.0000 0.0000 0.5000  -0.20
Mo 0.5000 0.5000 0.5000  3.57
Se 0.0000 0.5000 0.0000  -0.12
Se 0.5000 0.0000 0.0000  -0.12
W 0.0000 0.0000 0.0000  0.31

Calculated values
Uncorrected formation energy, eV per atom: 1.00
Final energy, eV/atom: -6.077
Excess energy over the best structure of this formula in the dataset, meV/atom: 0

=====

Entry from Alexandria: crystalline YMoAsSe2 at its relaxed geometry (PBE).

a = 5.3723 Å, b = 5.3723 Å, c = 5.4460 Å
α = 90.00°, β = 90.00°, γ = 90.00°
Site moments in Bohr magnetons follow the coordinates.
Element x y z (fractional)
Y 0.0000 0.0000 0.0000  0.00
Mo 0.5000 0.5000 0.5000  3.73
As 0.0000 0.0000 0.5000  -0.35
Se 0.0000 0.5000 0.0000  -0.21
Se 0.5000 0.0000 0.0000  -0.21

Calculated values
Uncorrected formation energy, eV per atom: 0.57
Final energy, eV/atom: -5.216
Excess energy over the best structure of this formula in the dataset, meV/atom: 799